[1]
An optimized crystal structure of AcLaSe2Cl, computed with PBE.

Unit cell a=4.4072 b=4.4072 c=14.5453 alpha=90.00 beta=90.00 gamma=90.00
Closest atoms and distances in Å follow each position.
Atoms (fractional coordinates):
Se1 0.0000 0.5000 0.1258  5 Ac 3.14-3.28, 1 La 3.37
Ac1 0.0000 0.5000 0.9000  6 Se 3.05-3.28
La1 0.0000 0.5000 0.3574  4 Cl 3.03, 5 Se 3.19-3.37
Se2 0.5000 0.0000 0.8742  5 Ac 3.14-3.28, 1 La 3.37
Se3 0.5000 0.0000 0.3097  1 Ac 3.05, 4 La 3.19
Cl1 0.5000 0.5000 0.5000  4 La 3.03, 4 Cl 3.12
Cl2 0.0000 0.0000 0.5000  4 La 3.03, 4 Cl 3.12
Ac2 0.5000 0.0000 0.1000  6 Se 3.05-3.28
Se4 0.0000 0.5000 0.6903  1 Ac 3.05, 4 La 3.19
La2 0.5000 0.0000 0.6426  4 Cl 3.03, 5 Se 3.19-3.37

Output
- energy relative to the elements, uncorrected (eV per atom) = -2.023
- VASP energy (Ry/atom) = -0.4111
- SG = P4/nmm (129)

---

[2]
An optimized crystal structure of AcLaSnCl, computed with PBE.

Unit cell a=5.5621 b=5.5621 c=5.5621 alpha=60.00 beta=60.00 gamma=60.00
Closest atoms and distances in Å follow each position.
Atoms (fractional coordinates):
La1 0.5000 0.5000 0.5000  4 Cl 3.41, 4 Sn 3.41
Cl1 0.7500 0.7500 0.7500  4 Ac 3.41, 4 La 3.41
Ac1 0.0000 0.0000 0.0000  4 Cl 3.41, 4 Sn 3.41
Sn1 0.2500 0.2500 0.2500  4 Ac 3.41, 4 La 3.41

Output
- energy relative to the elements, uncorrected (eV per atom) = -1.089
- VASP energy (Ry/atom) = -0.3535
- SG = F-43m (216)

---

[3]
An optimized crystal structure of Ac2La4Sn3Cl2, computed with PBE.

Unit cell a=5.4538 b=5.4538 c=13.3376 alpha=101.80 beta=101.80 gamma=90.00
Closest atoms and distances in Å follow each position.
Atoms (fractional coordinates):
Sn1 0.1672 0.1672 0.3344  1 Ac 3.36, 4 La 3.46
Sn2 0.8328 0.8328 0.6656  1 Ac 3.36, 4 La 3.46
Sn3 0.0000 0.0000 0.0000  8 La 3.47
Cl1 0.4296 0.4296 0.8592  4 La 2.75
Cl2 0.5704 0.5704 0.1408  4 La 2.75
Ac1 0.7011 0.7011 0.4023  1 Cl 3.34, 1 Sn 3.36
La1 0.5839 0.0839 0.1679  2 Cl 2.75
La2 0.0839 0.5839 0.1679  2 Cl 2.75
Ac2 0.2989 0.2989 0.5977  1 Cl 3.34, 1 Sn 3.36
La3 0.9161 0.4161 0.8321  2 Cl 2.75
La4 0.4161 0.9161 0.8321  2 Cl 2.75

Output
- energy relative to the elements, uncorrected (eV per atom) = -0.904
- VASP energy (Ry/atom) = -0.3580
- SG = I4/mmm (139)

---

[4]
An optimized crystal structure of AcLaTeCl, computed with PBE.

Unit cell a=5.5079 b=5.5079 c=5.5079 alpha=60.00 beta=60.00 gamma=60.00
Closest atoms and distances in Å follow each position.
Atoms (fractional coordinates):
Ac1 0.0000 0.0000 0.0000  4 Cl 3.37, 4 Te 3.37
La1 0.5000 0.5000 0.5000  4 Te 3.37, 4 Cl 3.37
Cl1 0.7500 0.7500 0.7500  4 Ac 3.37, 4 La 3.37
Te1 0.2500 0.2500 0.2500  4 Ac 3.37, 4 La 3.37

Output
- energy relative to the elements, uncorrected (eV per atom) = -1.353
- VASP energy (Ry/atom) = -0.3571
- SG = F-43m (216)

---

[5]
An optimized crystal structure of LiAcCl4, computed with PBE.

Unit cell a=4.9737 b=4.9456 c=7.5245 alpha=62.76 beta=90.00 gamma=90.00
Closest atoms and distances in Å follow each position.
Atoms (fractional coordinates):
Cl1 0.0000 0.8270 0.7540  1 Li 2.37
Cl2 0.5000 0.3207 0.7579  2 Ac 3.01-3.02, 2 Li 3.06
Cl3 0.0000 0.1730 0.2460  1 Li 2.37
Ac1 0.5000 0.0000 0.5000  8 Cl 3.01-3.02
Li1 0.0000 0.0000 0.0000  2 Cl 2.37
Cl4 0.5000 0.6793 0.2421  2 Ac 3.01-3.02, 2 Li 3.06

Output
- energy relative to the elements, uncorrected (eV per atom) = -2.188
- VASP energy (Ry/atom) = -0.3250
- SG = P2/m (10)
- energy above the most stable polymorph in this dataset (eV per atom) = 0.0098

---

[6]
An optimized crystal structure of LiAcCl2, computed with PBE.

Unit cell a=4.0458 b=4.0458 c=8.7509 alpha=76.63 beta=76.63 gamma=60.00
Closest atoms and distances in Å follow each position.
Atoms (fractional coordinates):
Ac1 0.0000 0.0000 0.0000  2 Cl 2.88
Cl1 0.8862 0.8862 0.3413  3 Li 2.69, 1 Ac 2.88
Li1 0.5000 0.5000 0.5000  6 Cl 2.69
Cl2 0.1138 0.1138 0.6587  3 Li 2.69, 1 Ac 2.88

Output
- energy relative to the elements, uncorrected (eV per atom) = -1.521
- VASP energy (Ry/atom) = -0.2903
- SG = R-3m (166)

---

VASP energy of number 2 (AcLaSnCl)?
-0.3535 Ry/atom